A plane-wave DFT calculation with PBE was carried out for a relaxed LaTb2MgAu4 crystal.

a = 9.042 Å, b = 9.042 Å, c = 9.042 Å
α = 32.39°, β = 32.39°, γ = 32.39°
Fractional coordinates of all 8 atoms:
La  0.000  0.000  0.000
Tb  0.239  0.239  0.239
Tb  0.761  0.761  0.761
Mg  0.500  0.500  0.500
Au  0.122  0.122  0.122
Au  0.390  0.390  0.390
Au  0.610  0.610  0.610
Au  0.878  0.878  0.878

- Energy of formation: -0.78 eV per atom
- Energy: -35.10 eV per formula unit

=====

A plane-wave DFT calculation with PBE was carried out for a relaxed LaTbMgAu crystal.

a = 5.345 Å, b = 5.345 Å, c = 5.345 Å
α = 60.00°, β = 60.00°, γ = 60.00°
Fractional coordinates of all 4 atoms:
La  0.000  0.000  0.000
Tb  0.500  0.500  0.500
Mg  0.750  0.750  0.750
Au  0.250  0.250  0.250

- Energy of formation: -0.38 eV per atom
- Energy: -15.94 eV per formula unit

=====

A plane-wave DFT calculation with PBE was carried out for a relaxed LaMgTe3Au crystal.

a = 8.289 Å, b = 4.301 Å, c = 10.003 Å
α = 90.00°, β = 100.39°, γ = 90.00°
Fractional coordinates of all 12 atoms:
La  0.189  0.250  0.272
La  0.811  0.750  0.728
Mg  0.339  0.750  0.846
Mg  0.661  0.250  0.154
Te  0.089  0.250  0.862
Te  0.290  0.750  0.529
Te  0.414  0.750  0.145
Te  0.586  0.250  0.855
Te  0.710  0.250  0.471
Te  0.911  0.750  0.138
Au  0.081  0.250  0.582
Au  0.919  0.750  0.418

- Raw formation energy: -548 kJ/mol of formula units
- Energy: -24.90 eV per formula unit